A | # ZnCrRh4 (PBE, optimized geometry)
data_ZnCrRh4
_chemical_formula_sum 'Zn2 Cr2 Rh8'
_cell_length_a 5.6692
_cell_length_b 5.6707
_cell_length_c 7.0864
_cell_angle_alpha 113.62
_cell_angle_beta 113.50
_cell_angle_gamma 89.99
_symmetry_space_group_name_H-M 'P 1'
_symmetry_Int_Tables_number 1
loop_
_symmetry_equiv_pos_as_xyz
'x,y,z'
loop_
_atom_site_label
_atom_site_type_symbol
_atom_site_fract_x
_atom_site_fract_y
_atom_site_fract_z
_atom_site_occupancy
Rh1 Rh 0.3692 0.3693 0.7383 1
Rh2 Rh 0.6308 0.6307 0.2617 1
Cr1 Cr 0.5000 0.0000 0.5000 1
Cr2 Cr 0.0000 0.5000 0.5000 1
Zn1 Zn 0.2500 0.2500 0.0000 1
Rh3 Rh 0.8693 0.3689 0.7381 1
Rh4 Rh 0.6307 0.1311 0.2619 1
Zn2 Zn 0.7500 0.7500 0.0000 1
Rh5 Rh 0.1308 0.1307 0.2617 1
Rh6 Rh 0.8692 0.8693 0.7383 1
Rh7 Rh 0.3693 0.8689 0.7381 1
Rh8 Rh 0.1307 0.6311 0.2619 1
# ρ	9.3	Mg/m³
# magnetization	0.00	μB/cell
# SG	C2/m
# N(E_F)	12.57	states/eV/cell



B | # ZnCrRh4 (PBE, optimized geometry)
data_ZnCrRh4
_chemical_formula_sum 'Zn1 Cr1 Rh4'
_cell_length_a 5.0946
_cell_length_b 5.0946
_cell_length_c 5.0946
_cell_angle_alpha 60.00
_cell_angle_beta 60.00
_cell_angle_gamma 60.00
_symmetry_space_group_name_H-M 'P 1'
_symmetry_Int_Tables_number 1
loop_
_symmetry_equiv_pos_as_xyz
'x,y,z'
loop_
_atom_site_label
_atom_site_type_symbol
_atom_site_fract_x
_atom_site_fract_y
_atom_site_fract_z
_atom_site_occupancy
Rh1 Rh 0.8746 0.3751 0.3751 1
Zn1 Zn 0.7500 0.7500 0.7500 1
Rh2 Rh 0.3751 0.8746 0.3751 1
Rh3 Rh 0.3751 0.3751 0.3751 1
Rh4 Rh 0.3751 0.3751 0.8746 1
Cr1 Cr 0.0000 0.0000 0.0000 1
# ρ	9.4	Mg/m³
# magnetization	2.57	μB/cell
# SG	F-43m
# N(E_F)	9.00	states/eV/cell



A takes first place; second place is 30 meV/atom up.



A | # ZnCrRh3 (PBE, optimized geometry)
data_ZnCrRh3
_chemical_formula_sum 'Zn1 Cr1 Rh3'
_cell_length_a 4.4435
_cell_length_b 4.4435
_cell_length_c 4.4435
_cell_angle_alpha 90.00
_cell_angle_beta 90.00
_cell_angle_gamma 90.00
_symmetry_space_group_name_H-M 'P 1'
_symmetry_Int_Tables_number 1
loop_
_symmetry_equiv_pos_as_xyz
'x,y,z'
loop_
_atom_site_label
_atom_site_type_symbol
_atom_site_fract_x
_atom_site_fract_y
_atom_site_fract_z
_atom_site_occupancy
Cr1 Cr 0.0000 0.0000 0.0000 1
Rh1 Rh 0.5000 0.0000 0.0000 1
Rh2 Rh 0.0000 0.0000 0.5000 1
Zn1 Zn 0.5000 0.5000 0.5000 1
Rh3 Rh 0.0000 0.5000 0.0000 1
# ρ	8.1	Mg/m³
# magnetization	0.00	μB/cell
# SG	Pm-3m
# N(E_F)	6.71	states/eV/cell



B | # ZnCrRh3 (PBE, optimized geometry)
data_ZnCrRh3
_chemical_formula_sum 'Zn1 Cr1 Rh3'
_cell_length_a 4.4565
_cell_length_b 4.4565
_cell_length_c 4.4565
_cell_angle_alpha 90.00
_cell_angle_beta 90.00
_cell_angle_gamma 90.00
_symmetry_space_group_name_H-M 'P 1'
_symmetry_Int_Tables_number 1
loop_
_symmetry_equiv_pos_as_xyz
'x,y,z'
loop_
_atom_site_label
_atom_site_type_symbol
_atom_site_fract_x
_atom_site_fract_y
_atom_site_fract_z
_atom_site_occupancy
Cr1 Cr 0.5000 0.5000 0.5000 1
Rh1 Rh 0.0000 0.5000 0.0000 1
Zn1 Zn 0.0000 0.0000 0.0000 1
Rh2 Rh 0.5000 0.0000 0.0000 1
Rh3 Rh 0.0000 0.0000 0.5000 1
# ρ	8.0	Mg/m³
# magnetization	0.95	μB/cell
# SG	Pm-3m
# N(E_F)	10.63	states/eV/cell



A takes first place; second place is 619 meV/atom up.



A | # Zn2CrRh2 (PBE, optimized geometry)
data_Zn2CrRh2
_chemical_formula_sum 'Zn4 Cr2 Rh4'
_cell_length_a 6.9631
_cell_length_b 6.9631
_cell_length_c 3.0026
_cell_angle_alpha 90.00
_cell_angle_beta 90.00
_cell_angle_gamma 90.00
_symmetry_space_group_name_H-M 'P 1'
_symmetry_Int_Tables_number 1
loop_
_symmetry_equiv_pos_as_xyz
'x,y,z'
loop_
_atom_site_label
_atom_site_type_symbol
_atom_site_fract_x
_atom_site_fract_y
_atom_site_fract_z
_atom_site_occupancy
Zn1 Zn 0.3735 0.8735 0.0000 1
Zn2 Zn 0.1265 0.3735 0.0000 1
Rh1 Rh 0.8267 0.3267 0.5000 1
Rh2 Rh 0.1733 0.6733 0.5000 1
Zn3 Zn 0.6265 0.1265 0.0000 1
Rh3 Rh 0.6733 0.8267 0.5000 1
Rh4 Rh 0.3267 0.1733 0.5000 1
Cr1 Cr 0.5000 0.5000 0.0000 1
Cr2 Cr 0.0000 0.0000 0.0000 1
Zn4 Zn 0.8735 0.6265 0.0000 1
# ρ	8.9	Mg/m³
# magnetization	7.40	μB/cell
# SG	P4/mbm
# N(E_F)	6.96	states/eV/cell



B | # Zn2CrRh2 (PBE, optimized geometry)
data_Zn2CrRh2
_chemical_formula_sum 'Zn4 Cr2 Rh4'
_cell_length_a 6.2592
_cell_length_b 6.2592
_cell_length_c 3.8110
_cell_angle_alpha 90.00
_cell_angle_beta 90.00
_cell_angle_gamma 90.00
_symmetry_space_group_name_H-M 'P 1'
_symmetry_Int_Tables_number 1
loop_
_symmetry_equiv_pos_as_xyz
'x,y,z'
loop_
_atom_site_label
_atom_site_type_symbol
_atom_site_fract_x
_atom_site_fract_y
_atom_site_fract_z
_atom_site_occupancy
Rh1 Rh 0.6473 0.1473 0.0000 1
Zn1 Zn 0.1582 0.6582 0.5000 1
Zn2 Zn 0.3418 0.1582 0.5000 1
Rh2 Rh 0.8527 0.6473 0.0000 1
Rh3 Rh 0.3527 0.8527 0.0000 1
Cr1 Cr 0.5000 0.5000 0.0000 1
Zn3 Zn 0.6582 0.8418 0.5000 1
Rh4 Rh 0.1473 0.3527 0.0000 1
Cr2 Cr 0.0000 0.0000 0.0000 1
Zn4 Zn 0.8418 0.3418 0.5000 1
# ρ	8.6	Mg/m³
# magnetization	0.00	μB/cell
# SG	P4/mbm
# N(E_F)	10.80	states/eV/cell



A takes first place; second place is 169 meV/atom up.



A | # ZrCr2Rh (PBE, optimized geometry)
data_ZrCr2Rh
_chemical_formula_sum 'Zr1 Cr2 Rh1'
_cell_length_a 5.0842
_cell_length_b 5.0842
_cell_length_c 5.0842
_cell_angle_alpha 143.69
_cell_angle_beta 127.14
_cell_angle_gamma 65.82
_symmetry_space_group_name_H-M 'P 1'
_symmetry_Int_Tables_number 1
loop_
_symmetry_equiv_pos_as_xyz
'x,y,z'
loop_
_atom_site_label
_atom_site_type_symbol
_atom_site_fract_x
_atom_site_fract_y
_atom_site_fract_z
_atom_site_occupancy
Cr1 Cr 0.7688 0.2688 0.5000 1
Cr2 Cr 0.9760 0.9760 0.0000 1
Zr1 Zr 0.2456 0.7456 0.5000 1
Rh1 Rh 0.5096 0.5096 0.0000 1
# ρ	8.1	Mg/m³
# magnetization	0.53	μB/cell
# SG	Imm2
# N(E_F)	4.86	states/eV/cell



B | # ZrCr2Rh (PBE, optimized geometry)
data_ZrCr2Rh
_chemical_formula_sum 'Zr1 Cr2 Rh1'
_cell_length_a 3.1121
_cell_length_b 3.1121
_cell_length_c 6.3142
_cell_angle_alpha 90.00
_cell_angle_beta 90.00
_cell_angle_gamma 90.00
_symmetry_space_group_name_H-M 'P 1'
_symmetry_Int_Tables_number 1
loop_
_symmetry_equiv_pos_as_xyz
'x,y,z'
loop_
_atom_site_label
_atom_site_type_symbol
_atom_site_fract_x
_atom_site_fract_y
_atom_site_fract_z
_atom_site_occupancy
Cr1 Cr 0.5000 0.5000 0.2280 1
Cr2 Cr 0.0000 0.0000 0.0320 1
Zr1 Zr 0.5000 0.5000 0.7523 1
Rh1 Rh 0.0000 0.0000 0.4878 1
# ρ	8.1	Mg/m³
# magnetization	1.31	μB/cell
# SG	P4mm
# N(E_F)	3.58	states/eV/cell



B takes first place; second place is 107 meV/atom up.



A | # ZrCr2Rh (PBE, optimized geometry)
data_ZrCr2Rh
_chemical_formula_sum 'Zr1 Cr2 Rh1'
_cell_length_a 5.0684
_cell_length_b 5.0684
_cell_length_c 4.5876
_cell_angle_alpha 71.69
_cell_angle_beta 71.69
_cell_angle_gamma 34.14
_symmetry_space_group_name_H-M 'P 1'
_symmetry_Int_Tables_number 1
loop_
_symmetry_equiv_pos_as_xyz
'x,y,z'
loop_
_atom_site_label
_atom_site_type_symbol
_atom_site_fract_x
_atom_site_fract_y
_atom_site_fract_z
_atom_site_occupancy
Cr1 Cr 0.0100 0.0100 0.9232 1
Zr1 Zr 0.2500 0.2500 0.2500 1
Cr2 Cr 0.4900 0.4900 0.5768 1
Rh1 Rh 0.7500 0.7500 0.7500 1
# ρ	7.9	Mg/m³
# magnetization	0.00	μB/cell
# SG	C2/m
# N(E_F)	4.24	states/eV/cell



B | # ZrCr2Rh (PBE, optimized geometry)
data_ZrCr2Rh
_chemical_formula_sum 'Zr1 Cr2 Rh1'
_cell_length_a 5.0916
_cell_length_b 5.0916
_cell_length_c 2.7605
_cell_angle_alpha 79.76
_cell_angle_beta 79.76
_cell_angle_gamma 118.10
_symmetry_space_group_name_H-M 'P 1'
_symmetry_Int_Tables_number 1
loop_
_symmetry_equiv_pos_as_xyz
'x,y,z'
loop_
_atom_site_label
_atom_site_type_symbol
_atom_site_fract_x
_atom_site_fract_y
_atom_site_fract_z
_atom_site_occupancy
Cr1 Cr 0.5000 0.5000 0.0000 1
Rh1 Rh 0.5000 0.0000 0.5000 1
Cr2 Cr 0.0000 0.0000 0.0000 1
Zr1 Zr 0.0000 0.5000 0.5000 1
# ρ	8.4	Mg/m³
# magnetization	0.22	μB/cell
# SG	C2/m
# N(E_F)	4.96	states/eV/cell



A takes first place; second place is 77 meV/atom up.



A | # ZrCr2Rh (PBE, optimized geometry)
data_ZrCr2Rh
_chemical_formula_sum 'Zr1 Cr2 Rh1'
_cell_length_a 5.0086
_cell_length_b 5.0086
_cell_length_c 2.7309
_cell_angle_alpha 90.00
_cell_angle_beta 90.00
_cell_angle_gamma 118.55
_symmetry_space_group_name_H-M 'P 1'
_symmetry_Int_Tables_number 1
loop_
_symmetry_equiv_pos_as_xyz
'x,y,z'
loop_
_atom_site_label
_atom_site_type_symbol
_atom_site_fract_x
_atom_site_fract_y
_atom_site_fract_z
_atom_site_occupancy
Cr1 Cr 0.5000 0.5000 0.0000 1
Cr2 Cr 0.0000 0.0000 0.0000 1
Zr1 Zr 0.0000 0.5000 0.5000 1
Rh1 Rh 0.5000 0.0000 0.5000 1
# ρ	8.2	Mg/m³
# magnetization	0.03	μB/cell
# SG	Cmmm
# N(E_F)	5.92	states/eV/cell



B | # ZrCr2Rh (PBE, optimized geometry)
data_ZrCr2Rh
_chemical_formula_sum 'Zr1 Cr2 Rh1'
_cell_length_a 4.3852
_cell_length_b 2.7240
_cell_length_c 5.0846
_cell_angle_alpha 78.83
_cell_angle_beta 90.00
_cell_angle_gamma 90.00
_symmetry_space_group_name_H-M 'P 1'
_symmetry_Int_Tables_number 1
loop_
_symmetry_equiv_pos_as_xyz
'x,y,z'
loop_
_atom_site_label
_atom_site_type_symbol
_atom_site_fract_x
_atom_site_fract_y
_atom_site_fract_z
_atom_site_occupancy
Rh1 Rh 0.5000 0.2500 0.2500 1
Cr1 Cr 0.0000 0.9588 0.0290 1
Zr1 Zr 0.5000 0.7500 0.7500 1
Cr2 Cr 0.0000 0.5412 0.4710 1
# ρ	8.3	Mg/m³
# magnetization	0.00	μB/cell
# SG	P2/m
# N(E_F)	5.12	states/eV/cell



C | # ZrCr2Rh (PBE, optimized geometry)
data_ZrCr2Rh
_chemical_formula_sum 'Zr1 Cr2 Rh1'
_cell_length_a 4.4605
_cell_length_b 4.4605
_cell_length_c 4.4605
_cell_angle_alpha 60.00
_cell_angle_beta 60.00
_cell_angle_gamma 60.00
_symmetry_space_group_name_H-M 'P 1'
_symmetry_Int_Tables_number 1
loop_
_symmetry_equiv_pos_as_xyz
'x,y,z'
loop_
_atom_site_label
_atom_site_type_symbol
_atom_site_fract_x
_atom_site_fract_y
_atom_site_fract_z
_atom_site_occupancy
Cr1 Cr 0.0000 0.0000 0.0000 1
Cr2 Cr 0.2500 0.2500 0.2500 1
Zr1 Zr 0.7500 0.7500 0.7500 1
Rh1 Rh 0.5000 0.5000 0.5000 1
# ρ	7.9	Mg/m³
# magnetization	1.26	μB/cell
# SG	F-43m
# N(E_F)	4.21	states/eV/cell



C takes first place; second place is 271 meV/atom up.